A relaxed SrTa2CrO8 crystal, computed with PBE with a Hubbard U.

* E: -8.502 eV/atom

Cell lengths 4.896, 4.857, 6.522 Å; angles 88.26, 88.23, 85.32 degrees
Last column: magnetic moment on the atom in μB.
Fractional coordinates of all 12 atoms:
O 0.660 0.677 0.482  0.00
O 0.788 0.205 0.202  -0.05
O 0.306 0.298 0.996  -0.06
O 0.194 0.775 0.203  -0.05
O 0.340 0.323 0.518  0.00
O 0.212 0.795 0.798  -0.05
O 0.694 0.702 0.004  -0.06
O 0.806 0.225 0.797  -0.05
Ta 0.525 0.527 0.241  0.02
Ta 0.475 0.473 0.759  0.02
Cr 0.000 0.000 0.000  2.25
Sr 0.000 0.000 0.500  -0.01

---

A relaxed Sr3Ta2CrO9 crystal, computed with PBE with a Hubbard U.

* E: -8.213 eV/atom

Cell lengths 5.683, 5.683, 6.973 Å; angles 90.00, 90.00, 120.00 degrees
Last column: magnetic moment on the atom in μB.
Fractional coordinates of all 15 atoms:
O 0.500 0.500 0.000  0.01
O 0.166 0.834 0.333  0.00
O 0.834 0.166 0.667  0.00
O 0.000 0.500 0.000  0.01
O 0.500 0.000 0.000  0.01
O 0.667 0.834 0.333  0.00
O 0.333 0.166 0.667  0.00
O 0.166 0.333 0.333  0.00
O 0.834 0.667 0.667  0.00
Sr 0.333 0.667 0.658  -0.01
Sr 0.667 0.333 0.342  -0.01
Sr 0.000 0.000 0.000  -0.01
Cr 0.000 0.000 0.500  2.73
Ta 0.667 0.333 0.826  -0.31
Ta 0.333 0.667 0.174  -0.31

---

A relaxed Sr3CrTc2O9 crystal, computed with PBE with a Hubbard U.

* E: -7.358 eV/atom

Cell lengths 5.608, 5.608, 6.860 Å; angles 90.00, 90.00, 120.00 degrees
Last column: magnetic moment on the atom in μB.
Fractional coordinates of all 15 atoms:
O 0.336 0.168 0.669  0.00
O 0.500 0.000 0.000  -0.01
O 0.832 0.664 0.669  0.00
O 0.500 0.500 0.000  -0.01
O 0.664 0.832 0.331  0.00
O 0.168 0.832 0.331  0.00
O 0.832 0.168 0.669  0.00
O 0.168 0.336 0.331  0.00
O 0.000 0.500 0.000  -0.01
Tc 0.333 0.667 0.160  -0.09
Tc 0.667 0.333 0.840  -0.09
Cr 0.000 0.000 0.500  2.84
Sr 0.333 0.667 0.649  0.00
Sr 0.000 0.000 0.000  0.00
Sr 0.667 0.333 0.351  0.00

---

A relaxed SrCrTcO6 crystal, computed with PBE with a Hubbard U.

* E: -7.362 eV/atom

Cell lengths 5.213, 5.210, 5.343 Å; angles 89.95, 89.98, 60.01 degrees
Last column: magnetic moment on the atom in μB.
Fractional coordinates of all 9 atoms:
O 0.376 0.612 0.299  -0.03
O 0.376 0.012 0.701  -0.03
O 0.611 0.013 0.299  -0.03
O 0.012 0.611 0.701  -0.03
O 0.012 0.376 0.299  -0.03
O 0.611 0.376 0.701  -0.03
Sr 0.000 0.000 0.000  0.00
Cr 0.667 0.667 0.500  2.87
Tc 0.333 0.333 0.500  0.25

---

Magnetic moment / μB/cell: 1.99; 1.98; 2.72; 3.00